1.
DFT (PBE) results for an optimized crystal structure of Cs2Rb9Hg3.

Cell: 12.6005 12.6005 16.2448 Å, 89.35 110.33 124.53°
Positions (direct):
1 Cs 0.3561 0.2088 0.7375
2 Cs 0.6439 0.7912 0.2625
3 Cs 0.9713 0.6185 0.7625
4 Cs 0.0287 0.3815 0.2375
5 Rb 0.4138 0.8812 0.7494
6 Rb 0.5862 0.1188 0.2506
7 Rb 0.6318 0.6644 0.7506
8 Rb 0.3682 0.3356 0.2494
9 Rb 0.3524 0.5464 0.9197
10 Rb 0.6476 0.4536 0.0803
11 Rb 0.1267 0.4327 0.5803
12 Rb 0.8733 0.5673 0.4197
13 Rb 0.8986 0.1486 0.7500
14 Rb 0.1014 0.8514 0.2500
15 Rb 0.1857 0.0391 0.9721
16 Rb 0.8143 0.9609 0.0279
17 Rb 0.5670 0.2136 0.5279
18 Rb 0.4330 0.7864 0.4721
19 Rb 0.8712 0.8517 0.5682
20 Rb 0.1288 0.1483 0.4318
21 Rb 0.7836 0.3031 0.9318
22 Rb 0.2164 0.6969 0.0682
23 Hg 0.5000 0.0000 0.0000
24 Hg 0.5000 0.5000 0.5000
25 Hg 0.7893 0.0874 0.4740
26 Hg 0.2107 0.9126 0.5260
27 Hg 0.1134 0.3153 0.0260
28 Hg 0.8866 0.6847 0.9740

Results
* total DFT energy (no corrections): -0.892 eV/atom
* mass density: 2.810 g/cm3

***

2.
DFT (PBE) results for an optimized crystal structure of LaDyGe2Pt5.

Cell: 4.3560 4.3560 9.0063 Å, 90.00 90.00 90.00°
Positions (direct):
1 La 0.0000 0.0000 0.5000
2 Dy 0.0000 0.0000 0.0000
3 Ge 0.5000 0.5000 0.1352
4 Ge 0.5000 0.5000 0.8648
5 Pt 0.0000 0.5000 0.2650
6 Pt 0.5000 0.0000 0.2650
7 Pt 0.0000 0.5000 0.7350
8 Pt 0.5000 0.0000 0.7350
9 Pt 0.5000 0.5000 0.5000

Results
* total DFT energy (no corrections): -6.318 eV/atom
* mass density: 13.818 g/cm3

***

3.
DFT (PBE) results for an optimized crystal structure of SeBrNF2.

Cell: 4.1032 4.1032 4.3028 Å, 90.00 90.00 90.00°
Positions (direct):
1 N 0.0000 0.0000 0.5000
2 Se 0.0000 0.0000 0.0000
3 Br 0.5000 0.5000 0.5000
4 F 0.0000 0.5000 0.0000
5 F 0.5000 0.0000 0.0000

Results
* formation energy from raw total energies: 0.321 eV/atom
* ΔE to the lowest computed polymorph: 0.00 kJ per mole of atoms
* mass density: 4.834 g/cm3

***

4.
DFT (PBE) results for an optimized crystal structure of Pm3Pr6Tm2.

Cell: 3.6587 3.6587 32.8273 Å, 86.81 86.81 60.00°
Positions (direct):
1 Pm 0.0000 0.0000 0.0000
2 Pm 0.7278 0.7278 0.8165
3 Pm 0.2722 0.2722 0.1835
4 Pr 0.9081 0.9081 0.2757
5 Pr 0.0919 0.0919 0.7243
6 Pr 0.8176 0.8176 0.5472
7 Pr 0.1824 0.1824 0.4528
8 Pr 0.6361 0.6361 0.0918
9 Pr 0.3639 0.3639 0.9082
10 Tm 0.5453 0.5453 0.3641
11 Tm 0.4547 0.4547 0.6359

Results
* ΔE to the lowest computed polymorph: 0.00 kJ per mole of atoms
* mass density: 7.076 g/cm3

***

5.
DFT (PBE) results for an optimized crystal structure of Y2TaIr.

Cell: 9.7311 9.7311 9.7311 Å, 19.41 19.41 19.41°
Positions (direct):
1 Ir 0.2500 0.2500 0.2500
2 Ta 0.7500 0.7500 0.7500
3 Y 0.9925 0.9925 0.9925
4 Y 0.5075 0.5075 0.5075

Results
* ΔE to the lowest computed polymorph: 39.11 kJ per mole of atoms
* mass density: 10.287 g/cm3

***

6.
DFT (PBE) results for an optimized crystal structure of ZnPSe2Br.

Cell: 4.9696 4.9696 4.9058 Å, 90.00 90.00 90.00°
Positions (direct):
1 P 0.5000 0.5000 0.5000
2 Zn 0.0000 0.0000 0.0000
3 Se 0.0000 0.5000 0.0000
4 Se 0.5000 0.0000 0.0000
5 Br 0.0000 0.0000 0.5000

Results
* formation energy from raw total energies: 0.683 eV/atom
* ΔE to the lowest computed polymorph: 29.67 kJ per mole of atoms
* mass density: 4.581 g/cm3